First-principles (SCAN) data for a crystal of CaCr relaxed with PBEsol, as listed in Alexandria via LeMat-Bulk.

a = 3.323 Å, b = 6.669 Å, c = 7.113 Å
α = 113.93°, β = 90.00°, γ = 104.43°
Each line ends with the local moment (μB).
Element x y z (fractional)
Cr (0.944, 0.888, 0.398)  -2.48
Ca (0.653, 0.307, 0.330)  -0.04
Cr (0.371, 0.742, 0.521)  1.14
Cr (0.324, 0.648, 0.208)  1.87
Ca (0.629, 0.259, 0.793)  -0.02
Ca (0.912, 0.823, 0.917)  0.01

## Properties
Excess energy over the best structure of this formula in the dataset in meV/atom: 197
SG: No. 8
Energy in hartree per atom: -0.492
DFT formation energy in meV/atom: 649

=====

First-principles (SCAN) data for a crystal of Ca5Cr relaxed with PBEsol, as listed in Alexandria via LeMat-Bulk.

a = 3.889 Å, b = 6.716 Å, c = 9.028 Å
α = 110.10°, β = 90.00°, γ = 106.83°
Each line ends with the local moment (μB).
Element x y z (fractional)
Ca (0.057, 0.114, 0.025)  -0.01
Ca (0.362, 0.725, 0.184)  0.01
Ca (0.027, 0.053, 0.594)  0.01
Ca (0.332, 0.663, 0.752)  -0.01
Cr (0.695, 0.389, 0.889)  4.09
Ca (0.694, 0.389, 0.389)  -0.01

## Properties
Excess energy over the best structure of this formula in the dataset in meV/atom: 0
SG: No. 12
Energy in hartree per atom: -0.403
DFT formation energy in meV/atom: 140

=====

First-principles (SCAN) data for a crystal of Ca2Cr relaxed with PBEsol, as listed in Alexandria via LeMat-Bulk.

a = 5.537 Å, b = 5.537 Å, c = 6.844 Å
α = 90.00°, β = 90.00°, γ = 120.00°
Each line ends with the local moment (μB).
Element x y z (fractional)
Ca (0.333, 0.667, 0.250)  0.06
Ca (0.000, 0.000, 0.500)  0.02
Cr (0.667, 0.333, 0.250)  4.16
Ca (0.667, 0.333, 0.750)  0.06
Cr (0.333, 0.667, 0.750)  4.16
Ca (0.000, 0.000, 0.000)  0.02

## Properties
SG: No. 194
Energy in hartree per atom: -0.451
DFT formation energy in meV/atom: 307

=====

First-principles (SCAN) data for a crystal of CaCr2 relaxed with PBEsol, as listed in Alexandria via LeMat-Bulk.

a = 2.641 Å, b = 4.457 Å, c = 4.457 Å
α = 120.00°, β = 90.00°, γ = 90.00°
Element x y z (fractional)
Cr (0.383, 0.667, 0.333)
Ca (0.000, 0.000, 0.000)
Cr (0.617, 0.333, 0.667)

## Properties
SG: No. 164
Energy in hartree per atom: -0.522
DFT formation energy in meV/atom: 1260

=====

First-principles (SCAN) data for a crystal of CsCa2TlCr relaxed with PBEsol, as listed in Alexandria via LeMat-Bulk.

a = 5.861 Å, b = 5.861 Å, c = 6.332 Å
α = 90.00°, β = 90.00°, γ = 90.00°
Each line ends with the local moment (μB).
Element x y z (fractional)
Tl (0.500, 0.500, 0.500)  -0.18
Ca (0.500, 0.000, 0.000)  0.04
Ca (0.000, 0.500, 0.000)  0.04
Cr (0.000, 0.000, 0.000)  4.21
Cs (0.000, 0.000, 0.500)  0.01

## Properties
SG: No. 123
Energy in hartree per atom: -1.066
DFT formation energy in meV/atom: 562

=====

First-principles (SCAN) data for a crystal of CaCrCu2 relaxed with PBEsol, as listed in Alexandria via LeMat-Bulk.

a = 3.191 Å, b = 3.191 Å, c = 6.458 Å
α = 90.00°, β = 90.00°, γ = 90.00°
Each line ends with the local moment (μB).
Element x y z (fractional)
Cu (0.000, 0.000, 0.693)  0.10
Cr (0.500, 0.500, 0.500)  3.44
Cu (0.000, 0.000, 0.307)  0.10
Ca (0.500, 0.500, 0.000)  0.01

## Properties
Excess energy over the best structure of this formula in the dataset in meV/atom: 0
SG: No. 123
Energy in hartree per atom: -0.531
DFT formation energy in meV/atom: 162

=====

First-principles (SCAN) data for a crystal of CaCrCu2 relaxed with PBEsol, as listed in Alexandria via LeMat-Bulk.

a = 3.970 Å, b = 3.970 Å, c = 5.008 Å
α = 113.35°, β = 113.35°, γ = 90.00°
Each line ends with the local moment (μB).
Element x y z (fractional)
Ca (0.500, 0.500, 0.000)  0.06
Cu (0.750, 0.250, 0.500)  0.01
Cu (0.000, 0.000, 0.000)  0.04
Cr (0.250, 0.750, 0.500)  3.89

## Properties
Excess energy over the best structure of this formula in the dataset in meV/atom: 96
SG: No. 119
Energy in hartree per atom: -0.527
DFT formation energy in meV/atom: 258

=====

First-principles (SCAN) data for a crystal of CaCr2Cu3Sb2O12 relaxed with PBEsol, as listed in Alexandria via LeMat-Bulk.

a = 7.448 Å, b = 7.448 Å, c = 7.448 Å
α = 90.00°, β = 90.00°, γ = 90.00°
Each line ends with the local moment (μB).
Element x y z (fractional)
Ca (0.500, 0.500, 0.500)  0.00
Cr (0.250, 0.750, 0.750)  2.79
O (0.676, 0.803, 0.497)  0.08
O (0.997, 0.824, 0.303)  0.08
O (0.197, 0.497, 0.324)  0.08
O (0.697, 0.003, 0.824)  0.08
O (0.303, 0.003, 0.176)  0.08
O (0.324, 0.803, 0.503)  0.08
O (0.176, 0.303, 0.003)  0.08
Cr (0.750, 0.750, 0.250)  2.79
Sb (0.750, 0.750, 0.750)  0.03
O (0.303, 0.997, 0.824)  0.08
O (0.003, 0.824, 0.697)  0.08
O (0.497, 0.324, 0.197)  0.08
Cu (0.500, 0.000, 0.500)  0.70
O (0.697, 0.997, 0.176)  0.08
Sb (0.250, 0.750, 0.250)  0.03
Sb (0.250, 0.250, 0.750)  0.03
O (0.997, 0.176, 0.697)  0.08
Cu (0.500, 0.500, 0.000)  0.70
Sb (0.750, 0.250, 0.250)  0.03
Cu (0.000, 0.000, 0.500)  0.70
O (0.503, 0.324, 0.803)  0.08
O (0.324, 0.197, 0.497)  0.08
O (0.824, 0.303, 0.997)  0.08
Cr (0.250, 0.250, 0.250)  2.79
Cu (0.500, 0.000, 0.000)  0.70
O (0.503, 0.676, 0.197)  0.08
O (0.824, 0.697, 0.003)  0.08
Ca (0.000, 0.000, 0.000)  0.00
O (0.176, 0.697, 0.997)  0.08
Cu (0.000, 0.500, 0.000)  0.70
Cr (0.750, 0.250, 0.750)  2.79
O (0.676, 0.197, 0.503)  0.08
O (0.197, 0.503, 0.676)  0.08
O (0.003, 0.176, 0.303)  0.08
O (0.803, 0.497, 0.676)  0.08
O (0.803, 0.503, 0.324)  0.08
O (0.497, 0.676, 0.803)  0.08
Cu (0.000, 0.500, 0.500)  0.70

## Properties
E_form (uncorrected) in eV/f.u.: -36.06
SG: No. 201
Energy in hartree per atom: -0.510

=====

First-principles (SCAN) data for a crystal of RbCa2CrCu relaxed with PBEsol, as listed in Alexandria via LeMat-Bulk.

a = 5.108 Å, b = 5.618 Å, c = 5.618 Å
α = 90.00°, β = 90.00°, γ = 90.00°
Each line ends with the local moment (μB).
Element x y z (fractional)
Rb (0.500, 0.500, 0.500)  0.00
Cu (0.000, 0.000, 0.000)  0.05
Ca (0.000, 0.000, 0.500)  -0.01
Ca (0.000, 0.500, 0.000)  -0.01
Cr (0.500, 0.000, 0.000)  4.08

## Properties
SG: No. 123
Energy in hartree per atom: -0.529
DFT formation energy in meV/atom: 344

=====

First-principles (SCAN) data for a crystal of Ca2ZnCrCu relaxed with PBEsol, as listed in Alexandria via LeMat-Bulk.

a = 4.425 Å, b = 5.496 Å, c = 5.496 Å
α = 90.00°, β = 90.00°, γ = 90.00°
Each line ends with the local moment (μB).
Element x y z (fractional)
Cu (0.500, 0.000, 0.000)  0.00
Cr (0.500, 0.500, 0.500)  4.28
Ca (0.000, 0.000, 0.500)  0.02
Zn (0.000, 0.000, 0.000)  -0.03
Ca (0.000, 0.500, 0.000)  0.02

## Properties
SG: No. 123
Energy in hartree per atom: -0.474
DFT formation energy in meV/atom: 386

=====

First-principles (SCAN) data for a crystal of CaCr3F relaxed with PBEsol, as listed in Alexandria via LeMat-Bulk.

a = 4.565 Å, b = 4.565 Å, c = 4.565 Å
α = 90.00°, β = 90.00°, γ = 90.00°
Each line ends with the local moment (μB).
Element x y z (fractional)
Cr (0.000, 0.000, 0.500)  3.98
F (0.000, 0.000, 0.000)  0.04
Ca (0.500, 0.500, 0.500)  0.00
Cr (0.000, 0.500, 0.000)  3.98
Cr (0.500, 0.000, 0.000)  3.98

## Properties
E_form (uncorrected) in eV/f.u.: 0.04
SG: No. 221
Energy in hartree per atom: -0.502

=====

First-principles (SCAN) data for a crystal of CaCr2F12 relaxed with PBEsol, as listed in Alexandria via LeMat-Bulk.

a = 5.135 Å, b = 5.562 Å, c = 8.852 Å
α = 106.07°, β = 90.01°, γ = 118.34°
Each line ends with the local moment (μB).
Element x y z (fractional)
F (0.758, 0.775, 0.850)  0.00
Cr (0.731, 0.983, 0.728)  1.00
F (0.218, 0.229, 0.437)  0.03
F (0.242, 0.225, 0.150)  0.00
F (0.653, 0.230, 0.302)  -0.03
F (0.721, 0.209, 0.631)  -0.02
F (0.865, 0.788, 0.212)  -0.01
F (0.705, 0.218, 0.915)  0.01
F (0.295, 0.782, 0.085)  0.01
Cr (0.269, 0.017, 0.272)  1.00
F (0.135, 0.212, 0.788)  -0.01
Ca (0.500, 0.500, 0.000)  0.00
F (0.782, 0.771, 0.563)  0.03
F (0.279, 0.791, 0.369)  -0.02
F (0.347, 0.770, 0.698)  -0.03

## Properties
E_form (uncorrected) in eV/f.u.: -40.68
SG: No. 2
Energy in hartree per atom: -0.317

=====

First-principles (SCAN) data for a crystal of Ca2CrIF relaxed with PBEsol, as listed in Alexandria via LeMat-Bulk.

a = 3.914 Å, b = 5.635 Å, c = 5.635 Å
α = 90.00°, β = 90.00°, γ = 90.00°
Each line ends with the local moment (μB).
Element x y z (fractional)
Ca (0.000, 0.000, 0.500)  -0.10
Cr (0.500, 0.000, 0.000)  3.72
I (0.500, 0.500, 0.500)  0.01
Ca (0.000, 0.500, 0.000)  -0.10
F (0.000, 0.000, 0.000)  0.02

## Properties
E_form (uncorrected) in eV/f.u.: -4.44
SG: No. 123
Energy in hartree per atom: -0.606

=====

First-principles (SCAN) data for a crystal of SrCaCrF7 relaxed with PBEsol, as listed in Alexandria via LeMat-Bulk.

a = 7.280 Å, b = 7.911 Å, c = 9.790 Å
α = 90.00°, β = 90.00°, γ = 90.00°
Each line ends with the local moment (μB).
Element x y z (fractional)
F (0.750, 0.894, 0.356)  0.02
F (0.750, 0.463, 0.523)  0.01
F (0.935, 0.116, 0.184)  0.02
F (0.250, 0.537, 0.477)  0.01
F (0.577, 0.261, 0.923)  0.01
F (0.077, 0.739, 0.077)  0.01
Sr (0.250, 0.303, 0.892)  0.00
F (0.565, 0.116, 0.184)  0.02
F (0.435, 0.384, 0.684)  0.02
F (0.077, 0.239, 0.423)  0.01
F (0.423, 0.239, 0.423)  0.01
F (0.435, 0.884, 0.816)  0.02
Cr (0.750, 0.684, 0.444)  2.82
F (0.250, 0.376, 0.139)  0.00
F (0.250, 0.106, 0.644)  0.02
F (0.250, 0.876, 0.361)  0.00
F (0.250, 0.037, 0.023)  0.01
F (0.565, 0.616, 0.316)  0.02
Sr (0.250, 0.803, 0.608)  0.00
Ca (0.750, 0.880, 0.756)  0.00
F (0.250, 0.606, 0.856)  0.02
F (0.423, 0.739, 0.077)  0.01
Sr (0.750, 0.697, 0.108)  0.00
Ca (0.250, 0.120, 0.244)  0.00
Cr (0.750, 0.184, 0.056)  2.82
Ca (0.250, 0.620, 0.256)  0.00
F (0.750, 0.124, 0.639)  0.00
Cr (0.250, 0.316, 0.556)  2.82
F (0.935, 0.616, 0.316)  0.02
F (0.577, 0.761, 0.577)  0.01
Ca (0.750, 0.380, 0.744)  0.00
F (0.750, 0.963, 0.977)  0.01
Cr (0.250, 0.816, 0.944)  2.82
F (0.750, 0.624, 0.861)  0.00
F (0.065, 0.384, 0.684)  0.02
F (0.923, 0.761, 0.577)  0.01
F (0.065, 0.884, 0.816)  0.02
Sr (0.750, 0.197, 0.392)  0.00
F (0.923, 0.261, 0.923)  0.01
F (0.750, 0.394, 0.144)  0.02

## Properties
E_form (uncorrected) in eV/f.u.: -37.81
SG: No. 62
Energy in hartree per atom: -0.415

=====

First-principles (SCAN) data for a crystal of Ca2CrFe relaxed with PBEsol, as listed in Alexandria via LeMat-Bulk.

a = 3.479 Å, b = 5.098 Å, c = 5.756 Å
α = 116.28°, β = 107.59°, γ = 90.00°
Each line ends with the local moment (μB).
Element x y z (fractional)
Ca (0.767, 0.767, 0.533)  0.02
Cr (0.568, 0.068, 0.136)  3.25
Ca (0.971, 0.471, 0.943)  0.06
Fe (0.194, 0.194, 0.389)  -2.16

## Properties
Excess energy over the best structure of this formula in the dataset in meV/atom: 0
SG: No. 44
Energy in hartree per atom: -0.497
DFT formation energy in meV/atom: 445

=====

First-principles (SCAN) data for a crystal of CaCrFe2 relaxed with PBEsol, as listed in Alexandria via LeMat-Bulk.

a = 3.021 Å, b = 3.023 Å, c = 6.847 Å
α = 90.00°, β = 90.00°, γ = 90.00°
Each line ends with the local moment (μB).
Element x y z (fractional)
Cr (0.500, 0.500, 0.841)  -2.56
Fe (0.500, 0.500, 0.172)  2.82
Ca (0.000, 0.000, 0.490)  -0.04
Fe (0.000, 0.000, 0.997)  2.33

## Properties
SG: No. 99
Energy in hartree per atom: -0.574
DFT formation energy in meV/atom: 448

=====

First-principles (SCAN) data for a crystal of Ca2CrFe relaxed with PBEsol, as listed in Alexandria via LeMat-Bulk.

a = 3.372 Å, b = 3.372 Å, c = 8.019 Å
α = 90.00°, β = 90.00°, γ = 90.00°
Each line ends with the local moment (μB).
Element x y z (fractional)
Ca (0.000, 0.000, 0.729)  -0.03
Ca (0.000, 0.000, 0.271)  -0.03
Cr (0.500, 0.500, 0.000)  4.07
Fe (0.500, 0.500, 0.500)  3.11

## Properties
Excess energy over the best structure of this formula in the dataset in meV/atom: 118
SG: No. 123
Energy in hartree per atom: -0.492
DFT formation energy in meV/atom: 563

=====

First-principles (SCAN) data for a crystal of CaCrFe2 relaxed with PBEsol, as listed in Alexandria via LeMat-Bulk.

a = 3.877 Å, b = 3.877 Å, c = 4.123 Å
α = 90.00°, β = 90.00°, γ = 90.00°
Each line ends with the local moment (μB).
Element x y z (fractional)
Fe (0.500, 0.000, 0.000)  2.84
Ca (0.500, 0.500, 0.500)  0.01
Cr (0.000, 0.000, 0.500)  3.45
Fe (0.000, 0.500, 0.000)  2.84

## Properties
SG: No. 123
Energy in hartree per atom: -0.564
DFT formation energy in meV/atom: 742

=====

First-principles (SCAN) data for a crystal of Ca3CrFe relaxed with PBEsol, as listed in Alexandria via LeMat-Bulk.

a = 5.412 Å, b = 5.412 Å, c = 5.412 Å
α = 90.00°, β = 90.00°, γ = 90.00°
Each line ends with the local moment (μB).
Element x y z (fractional)
Fe (0.500, 0.500, 0.500)  3.40
Cr (0.000, 0.000, 0.000)  3.88
Ca (0.500, 0.000, 0.000)  0.01
Ca (0.000, 0.500, 0.000)  0.01
Ca (0.000, 0.000, 0.500)  0.01

## Properties
SG: No. 221
Energy in hartree per atom: -0.444
DFT formation energy in meV/atom: 1007

=====

First-principles (SCAN) data for a crystal of Ca2CrFe relaxed with PBEsol, as listed in Alexandria via LeMat-Bulk.

a = 4.957 Å, b = 4.957 Å, c = 4.957 Å
α = 60.00°, β = 60.00°, γ = 60.00°
Each line ends with the local moment (μB).
Element x y z (fractional)
Ca (0.750, 0.750, 0.750)  0.06
Fe (0.250, 0.250, 0.250)  3.20
Ca (0.000, 0.000, 0.000)  0.02
Cr (0.500, 0.500, 0.500)  3.99

## Properties
Excess energy over the best structure of this formula in the dataset in meV/atom: 165
SG: No. 216
Energy in hartree per atom: -0.491
DFT formation energy in meV/atom: 611